<w>
Here is a relaxed Dy2BrNCl2 crystal from OQMD via LeMat-Bulk. Energies are from PBE.

**Space group**: C2/m, No. 12
**M_tot**: 0.00 μB per cell
**Volume**: 24.7 A^3/atom

The structure in extended XYZ format:
```
12
Lattice="8.494 -1.917 0.000 8.494 1.917 0.000 -5.799 0.000 9.118" Properties=species:S:1:pos:R:3 pbc="T T T"
Br 14.673 0.000 2.457
Cl 2.964 0.000 1.012
N 2.336 0.000 7.675
Dy 6.872 0.000 0.406
Dy 4.317 0.000 8.713
Dy 10.561 0.000 6.441
Cl 8.226 0.000 8.106
N 8.853 0.000 1.443
Cl 2.776 0.000 4.405
Br -3.484 0.000 6.661
Dy 0.628 0.000 2.677
Cl 8.414 0.000 4.713
```



<x>
Here is a relaxed Dy2BrNCl2 crystal from OQMD via LeMat-Bulk. Energies are from PBE.

**Space group**: C2/m, No. 12
**M_tot**: 0.00 μB per cell
**Volume**: 25.0 A^3/atom

The structure in extended XYZ format:
```
12
Lattice="-5.100 -2.698 -6.369 -2.102 -5.104 -6.587 -1.767 -3.142 10.347" Properties=species:S:1:pos:R:3 pbc="T T T"
Dy -4.994 -5.969 -2.819
Cl -0.770 -1.147 2.062
Br -4.792 -5.213 -8.387
Br -4.177 -5.731 5.778
N -5.299 -6.544 -0.680
Dy -2.361 -3.522 6.379
Cl -6.350 -7.359 -6.133
Cl -8.199 -9.797 -4.672
Dy -6.608 -7.422 -8.988
N -3.671 -4.401 -1.929
Cl -2.620 -3.586 3.523
Dy -3.976 -4.975 0.210
```



Most stable one: <x>, least stable one: <w>.



<w>
Here is a relaxed Cu4Ag crystal from OQMD via LeMat-Bulk. Energies are from PBE.

**Space group**: C2/m, No. 12
**Volume**: 13.1 A^3/atom

The structure in extended XYZ format:
```
10
Lattice="6.979 -1.339 0.000 6.979 1.339 0.000 -1.900 0.000 6.985" Properties=species:S:1:pos:R:3 pbc="T T T"
Cu 12.197 0.000 1.481
Cu 0.670 0.000 2.127
Cu 11.388 0.000 4.859
Cu 6.029 0.000 3.493
Ag 9.519 0.000 0.804
Cu -0.139 0.000 5.504
Ag 2.538 0.000 6.181
Cu 8.574 0.000 4.045
Cu 6.979 0.000 0.000
Cu 3.484 0.000 2.941
```



<x>
Here is a relaxed Cu4Ag crystal from OQMD via LeMat-Bulk. Energies are from PBE.

**Space group**: P2_1/m, No. 11
**Volume**: 13.1 A^3/atom

The structure in extended XYZ format:
```
10
Lattice="-4.359 -0.598 -1.149 0.736 -0.519 -2.525 2.155 -10.230 2.730" Properties=species:S:1:pos:R:3 pbc="T T T"
Cu 1.188 -4.453 -0.873
Cu -0.007 -2.179 -0.266
Ag -0.083 -6.907 -0.740
Cu -1.462 -9.168 -0.678
Cu -0.524 -0.566 -2.171
Cu -1.896 -2.672 -2.139
Cu 0.427 -8.675 1.195
Ag -1.386 -4.439 -0.204
Cu -2.657 -6.893 -0.070
Cu -0.945 -10.781 1.228
```



<y>
Here is a relaxed Cu4Ag crystal from OQMD via LeMat-Bulk. Energies are from PBE.

**Space group**: R-3m, No. 166
**Volume**: 13.2 A^3/atom

The structure in extended XYZ format:
```
10
Lattice="-0.048 19.659 7.845 2.501 19.812 7.017 0.505 20.474 5.347" Properties=species:S:1:pos:R:3 pbc="T T T"
Cu 2.511 50.884 17.154
Cu 2.207 44.722 15.077
Cu 1.925 39.004 13.149
Cu 2.817 57.084 19.244
Ag 1.631 33.041 11.139
Cu 0.751 15.223 5.132
Cu 0.447 9.061 3.055
Cu 1.034 20.940 7.059
Ag 1.328 26.904 9.070
Cu 0.141 2.861 0.965
```



Most stable one: <w>, least stable one: <y>.



<w>
Here is a relaxed SmZnInSe3 crystal from OQMD via LeMat-Bulk. Energies are from PBE.

**Space group**: Pnma, No. 62
**M_tot**: 0.01 μB per cell
**Volume**: 28.9 A^3/atom

The structure in extended XYZ format:
```
24
Lattice="-1.379 4.627 13.958 -0.250 -3.949 1.284 11.202 -0.314 1.211" Properties=species:S:1:pos:R:3 pbc="T T T"
Zn 9.327 1.129 8.651
Zn 6.611 -1.089 1.304
Se 9.184 -1.302 7.886
In 9.579 0.174 12.502
Se 5.862 0.677 6.589
Se 8.083 -0.559 3.220
In 4.084 2.370 11.448
In -0.006 0.190 3.952
Sm 0.375 3.472 14.116
Se 0.389 1.667 8.568
Se 2.062 -1.387 6.242
Se 9.027 2.883 13.985
Se 3.712 -0.312 9.865
Sm 9.198 -3.108 2.338
Se 5.400 1.098 14.530
In 5.490 -2.005 5.006
Se 0.546 -2.518 2.469
Sm 6.471 -0.737 9.097
Zn 2.963 1.454 15.150
Se 4.174 -0.734 1.923
Sm 3.103 1.101 7.357
Zn 0.246 -0.764 7.803
Se 1.490 0.924 13.234
Se 7.511 1.751 10.212
```



<x>
Here is a relaxed SmZnInSe3 crystal from OQMD via LeMat-Bulk. Energies are from PBE.

**Space group**: Pnma, No. 62
**M_tot**: 0.01 μB per cell
**Volume**: 25.7 A^3/atom

The structure in extended XYZ format:
```
24
Lattice="-3.077 -7.832 1.303 1.111 0.266 4.220 -14.866 6.425 3.509" Properties=species:S:1:pos:R:3 pbc="T T T"
Se -6.232 2.096 4.905
In -12.152 1.899 6.475
Se -13.522 -0.298 4.710
Se -9.508 0.074 5.894
Zn -5.625 -0.302 4.896
Sm -8.610 1.637 3.295
Se -4.160 -7.164 2.678
In -4.185 1.326 2.150
Se -1.850 -4.379 4.159
Se -5.899 -4.306 5.220
Se -3.310 -0.844 4.321
In -4.681 -3.041 2.556
Se -12.673 6.023 6.353
Zn -11.208 -0.840 4.135
Zn -12.941 4.490 4.256
In -12.648 -2.467 6.881
Sm -16.198 0.335 5.375
Se -10.934 3.164 3.811
Se -7.325 -1.216 3.137
Sm -8.223 -2.779 5.736
Zn -3.892 -5.632 4.775
Se -14.982 3.237 4.872
Se -10.601 -3.238 4.126
Sm -0.635 -1.477 3.657
```



Most stable one: <w>, least stable one: <x>.



<w>
Here is a relaxed Pr2Nd2CI2Cl3 crystal from OQMD via LeMat-Bulk. Energies are from PBE.

**Space group**: C2/m, No. 12
**M_tot**: 0.10 μB per cell
**Volume**: 29.6 A^3/atom

The structure in extended XYZ format:
```
10
Lattice="-5.079 -6.546 -4.377 -3.677 -8.533 -1.219 -5.784 3.500 4.771" Properties=species:S:1:pos:R:3 pbc="T T T"
Cl -6.325 0.377 3.046
Nd -4.619 2.684 3.740
Nd -9.921 -14.263 -4.565
C -4.378 -7.540 -2.798
I -3.586 -1.219 0.826
Pr -8.526 -2.153 2.432
Pr -6.014 -9.425 -3.258
Cl -7.270 -5.789 -0.413
I -10.954 -10.359 -1.651
Cl -8.214 -11.955 -3.872
```



<x>
Here is a relaxed Pr2Nd2CI2Cl3 crystal from OQMD via LeMat-Bulk. Energies are from PBE.

**Space group**: C2/m, No. 12
**M_tot**: 0.18 μB per cell
**Volume**: 30.4 A^3/atom

The structure in extended XYZ format:
```
10
Lattice="-6.926 -4.512 5.117 -4.203 -7.393 4.710 4.598 3.519 5.859" Properties=species:S:1:pos:R:3 pbc="T T T"
Pr 0.984 0.751 1.268
Cl -6.322 -7.701 12.234
I -8.309 -9.164 9.294
Nd 0.198 -1.079 8.978
Cl -0.209 -0.685 3.452
Cl -3.266 -4.193 7.843
C -5.564 -5.952 4.914
Pr -7.515 -9.138 14.418
I 1.777 0.778 6.392
Nd -6.730 -7.307 6.708
```



Most stable one: <x>, least stable one: <w>.



<w>
Here is a relaxed CsGaAu crystal from OQMD via LeMat-Bulk. Energies are from PBE.

**Space group**: P2_1/c, No. 14
**Volume**: 36.9 A^3/atom

The structure in extended XYZ format:
```
12
Lattice="-6.281 -3.819 -0.773 3.491 -4.440 -6.427 6.534 -2.214 5.078" Properties=species:S:1:pos:R:3 pbc="T T T"
Cs 2.522 -9.228 -3.632
Au -1.269 -3.159 -0.633
Cs -2.481 -5.912 -2.973
Au 1.303 -5.644 -3.215
Ga 0.813 -4.535 -0.914
Cs 1.221 -1.245 1.509
Ga 0.669 -6.110 -5.599
Ga 2.930 -5.938 -1.209
Au 5.012 -7.314 -1.490
Au 2.440 -4.829 1.092
Cs 6.225 -4.561 0.851
Ga 3.074 -4.363 3.476
```



<x>
Here is a relaxed CsGaAu crystal from OQMD via LeMat-Bulk. Energies are from PBE.

**Space group**: F-43m, No. 216
**Volume**: 43.7 A^3/atom

The structure in extended XYZ format:
```
3
Lattice="0.256 0.883 5.626 -3.960 -2.259 3.423 1.367 -4.288 3.499" Properties=species:S:1:pos:R:3 pbc="T T T"
Cs 0.000 0.000 0.000
Ga -1.753 -4.247 9.411
Au -0.584 -1.416 3.137
```



Most stable one: <w>, least stable one: <x>.



<w>
Here is a relaxed Te2WSeSBr crystal from OQMD via LeMat-Bulk. Energies are from PBE.

**Space group**: P-1, No. 2
**M_tot**: 0.00 μB per cell
**Volume**: 30.6 A^3/atom

The structure in extended XYZ format:
```
12
Lattice="-2.731 5.785 -1.073 -3.250 -1.135 7.384 8.542 0.422 0.123" Properties=species:S:1:pos:R:3 pbc="T T T"
Se 2.681 1.336 5.629
Br 3.469 1.904 1.503
Br -0.909 3.168 4.930
S -2.111 2.847 1.098
Te 3.763 5.380 -0.203
Se -0.120 3.736 0.804
Te 0.002 0.427 2.313
S 4.672 2.225 5.335
Te 2.559 4.645 4.120
Te -1.202 -0.308 6.636
W 3.182 3.749 6.674
W -0.622 1.323 -0.241
```



<x>
Here is a relaxed Te2WSeSBr crystal from OQMD via LeMat-Bulk. Energies are from PBE.

**Space group**: P-1, No. 2
**M_tot**: 0.00 μB per cell
**Volume**: 30.9 A^3/atom

The structure in extended XYZ format:
```
12
Lattice="-1.964 -6.338 0.180 4.785 2.172 6.397 -7.506 3.543 0.613" Properties=species:S:1:pos:R:3 pbc="T T T"
W -4.261 0.734 7.150
Te -6.450 -0.260 0.583
S -5.991 3.104 1.813
Te -1.238 -3.029 2.254
Te -3.447 2.406 4.935
Se -1.751 0.578 1.087
Te 1.765 -0.363 6.607
W -0.423 -1.357 0.040
S 1.306 -3.728 5.377
Se -2.934 -1.202 6.103
Br -5.122 -0.602 3.260
Br 0.437 -0.021 3.930
```



Most stable one: <w>, least stable one: <x>.



<w>
Here is a relaxed Cu5Ag4 crystal from OQMD via LeMat-Bulk. Energies are from PBE.

**Space group**: Fmm2, No. 42
**Volume**: 14.6 A^3/atom

The structure in extended XYZ format:
```
9
Lattice="0.000 5.936 5.621 1.965 0.000 5.621 1.965 5.936 0.000" Properties=species:S:1:pos:R:3 pbc="T T T"
Ag 1.965 5.936 3.836
Cu 1.965 2.028 7.371
Ag 1.965 1.997 3.769
Ag 1.965 9.875 3.769
Cu 1.965 9.844 7.371
Ag 1.965 5.936 7.392
Cu 1.965 3.899 5.707
Cu 1.965 5.936 0.050
Cu 1.965 7.972 5.707
```



<x>
Here is a relaxed Cu5Ag4 crystal from OQMD via LeMat-Bulk. Energies are from PBE.

**Space group**: I4/mmm, No. 139
**Volume**: 14.6 A^3/atom

The structure in extended XYZ format:
```
9
Lattice="-1.399 1.399 16.804 1.399 -1.399 16.804 1.399 1.399 -16.804" Properties=species:S:1:pos:R:3 pbc="T T T"
Cu 0.000 0.000 0.000
Cu 0.000 0.000 11.404
Cu 0.000 0.000 3.842
Cu 0.000 0.000 29.766
Ag 0.000 0.000 14.882
Cu 0.000 0.000 22.204
Ag 0.000 0.000 26.305
Ag 0.000 0.000 18.726
Ag 0.000 0.000 7.303
```



Most stable one: <x>, least stable one: <w>.



<w>
Here is a relaxed Cu5Ag4 crystal from OQMD via LeMat-Bulk. Energies are from PBE.

**Space group**: Immm, No. 71
**Volume**: 14.6 A^3/atom

The structure in extended XYZ format:
```
9
Lattice="-1.404 4.188 5.592 1.404 -4.188 5.592 1.404 4.188 -5.592" Properties=species:S:1:pos:R:3 pbc="T T T"
Cu 1.404 0.000 1.770
Ag 1.404 2.774 1.782
Ag 0.000 1.414 3.810
Cu 0.000 7.122 0.000
Ag 0.000 1.414 7.374
Cu 0.000 4.188 3.822
Cu 0.000 4.188 0.000
Ag 1.404 2.774 -1.782
Cu 0.000 1.255 0.000
```



<x>
Here is a relaxed Cu5Ag4 crystal from OQMD via LeMat-Bulk. Energies are from PBE.

**Space group**: Cm, No. 8
**Volume**: 14.6 A^3/atom

The structure in extended XYZ format:
```
9
Lattice="5.720 -1.398 0.000 5.720 1.398 0.000 -2.212 0.000 8.235" Properties=species:S:1:pos:R:3 pbc="T T T"
Cu -2.099 0.000 8.080
Cu 9.886 0.000 5.548
Ag 6.410 0.000 4.725
Ag 10.555 0.000 2.810
Ag 7.159 0.000 1.836
Ag 3.633 0.000 0.676
Cu 2.807 0.000 3.851
Cu 2.229 0.000 6.423
Cu 5.565 0.000 7.224
```



Most stable one: <x>, least stable one: <w>.



<w>
Here is a relaxed GdPtNO crystal from OQMD via LeMat-Bulk. Energies are from PBE.

**Space group**: P4/nmm, No. 129
**M_tot**: 0.00 μB per cell
**Volume**: 13.3 A^3/atom

The structure in extended XYZ format:
```
8
Lattice="-4.331 -1.244 1.855 -1.308 -1.867 -4.306 1.670 -3.991 1.223" Properties=species:S:1:pos:R:3 pbc="T T T"
O -2.819 -1.555 -1.226
Gd -1.984 -3.551 -0.615
Pt -0.647 -0.949 -2.148
N 0.188 -2.945 -1.537
Gd 0.835 -1.995 0.611
Pt -0.502 -4.597 2.145
N -1.337 -2.601 1.534
O 0.000 0.000 0.000
```



<x>
Here is a relaxed GdPtNO crystal from OQMD via LeMat-Bulk. Energies are from PBE.

**Space group**: Pca2_1, No. 29
**M_tot**: 0.00 μB per cell
**Volume**: 14.2 A^3/atom

The structure in extended XYZ format:
```
16
Lattice="-0.707 -6.688 1.632 4.600 -1.572 -4.451 3.522 0.475 3.472" Properties=species:S:1:pos:R:3 pbc="T T T"
O 4.076 -4.326 1.304
Pt 3.156 -2.176 -2.720
Gd 0.756 -0.835 -0.646
N 6.821 -7.026 1.107
Gd 4.904 -7.187 -0.431
O 2.858 -3.525 -1.124
Gd 2.281 -2.825 1.633
N 3.833 -2.540 3.524
Pt 4.796 -3.081 -0.705
Pt 2.679 -5.822 1.816
O 4.848 -1.124 0.084
N 2.311 -0.528 1.239
Pt 1.039 -4.917 -0.199
O 2.087 -6.726 0.096
N 5.298 -5.014 -1.178
Gd 3.379 -5.197 -2.710
```



Most stable one: <x>, least stable one: <w>.



<w>
Here is a relaxed AgPdCl3 crystal from OQMD via LeMat-Bulk. Energies are from PBE.

**Space group**: R-3c, No. 167
**Volume**: 21.6 A^3/atom

The structure in extended XYZ format:
```
10
Lattice="-0.502 -6.756 1.151 3.918 -4.612 -3.255 4.917 -3.589 3.187" Properties=species:S:1:pos:R:3 pbc="T T T"
Cl 3.690 -9.263 2.213
Pd 0.000 0.000 0.000
Pd 4.167 -7.479 0.541
Cl 4.282 -9.185 -1.271
Ag 6.250 -11.218 0.812
Cl 1.722 -7.231 0.131
Ag 2.083 -3.739 0.271
Cl 4.051 -5.772 2.353
Cl 4.644 -5.694 -1.131
Cl 6.612 -7.726 0.951
```



<x>
Here is a relaxed AgPdCl3 crystal from OQMD via LeMat-Bulk. Energies are from PBE.

**Space group**: P4mm, No. 99
**Volume**: 24.3 A^3/atom

The structure in extended XYZ format:
```
5
Lattice="4.975 0.000 0.000 0.000 4.975 0.000 0.000 0.000 4.911" Properties=species:S:1:pos:R:3 pbc="T T T"
Ag 0.000 0.000 4.322
Pd 2.488 2.488 3.022
Cl 0.000 2.488 3.159
Cl 2.488 2.488 0.582
Cl 2.488 0.000 3.159
```



Most stable one: <w>, least stable one: <x>.